Below is an optimized crystal structure of ScCNF2, with properties calculated at the PBE-GGA level.

```
ScCNF2
1.0
-1.340 -0.629 -3.690
3.734 0.044 -1.364
0.290 -4.435 0.651
Sc C N F
1 1 1 2
direct
0.000 0.000 0.000 Sc
0.500 0.500 0.500 C
0.000 0.000 0.500 N
0.000 0.500 0.000 F
0.500 0.000 0.000 F
```

Computed properties:
* DOS at the Fermi energy: 4.01 states/eV per cell
* polymorph energy (0 for the lowest one): 512 meV/atom
* formation energy (no corrections): -25 kJ per mole of atoms
* ρ: 2.55 g cm⁻³


Below is an optimized crystal structure of ScCN2F, with properties calculated at the PBE-GGA level.

```
ScCN2F
1.0
-1.362 -3.790 -1.609
3.828 -1.790 0.977
-1.376 -1.009 3.543
Sc C N F
1 1 2 1
direct
0.000 0.000 0.000 Sc
0.500 0.500 0.500 C
0.000 0.500 0.000 N
0.500 0.000 0.000 N
0.000 0.000 0.500 F
```

Computed properties:
* DOS at the Fermi energy: 3.61 states/eV per cell
* formation energy (no corrections): 114 kJ per mole of atoms
* ρ: 2.33 g cm⁻³


Below is an optimized crystal structure of ScCNF2, with properties calculated at the PBE-GGA level.

```
ScCNF2
1.0
-3.357 2.083 -2.301
2.129 -0.920 -3.940
-1.237 -2.171 -0.161
Sc C N F
1 1 1 2
direct
0.500 0.500 0.500 Sc
0.000 0.000 0.000 C
0.000 0.000 0.500 N
0.000 0.500 0.000 F
0.500 0.000 0.000 F
```

Computed properties:
* DOS at the Fermi energy: 1.92 states/eV per cell
* polymorph energy (0 for the lowest one): 0 meV/atom
* formation energy (no corrections): -75 kJ per mole of atoms
* ρ: 3.46 g cm⁻³


Below is an optimized crystal structure of ScCN2F, with properties calculated at the PBE-GGA level.

```
ScCN2F
1.0
-2.978 0.454 -1.485
-0.445 -3.327 -0.126
-1.685 0.096 3.409
Sc C N F
1 1 2 1
direct
0.500 0.500 0.500 Sc
0.000 0.000 0.000 C
0.000 0.500 0.000 N
0.500 0.000 0.000 N
0.000 0.000 0.500 F
```

Computed properties:
* DOS at the Fermi energy: 0.95 states/eV per cell
* formation energy (no corrections): 35 kJ per mole of atoms
* ρ: 4.02 g cm⁻³


Below is an optimized crystal structure of ScCN2F, with properties calculated at the PBE-GGA level.

```
ScCN2F
1.0
-2.642 0.757 1.672
-2.928 -0.543 -4.380
-0.640 -6.166 1.781
Sc C N F
2 2 4 2
direct
0.750 0.876 0.237 Sc
0.250 0.124 0.763 Sc
0.750 0.637 0.668 C
0.250 0.363 0.332 C
0.250 0.586 0.300 N
0.250 0.136 0.371 N
0.750 0.864 0.629 N
0.750 0.414 0.700 N
0.750 0.171 0.007 F
0.250 0.829 0.993 F
```

Computed properties:
* DOS at the Fermi energy: 0.00 states/eV per cell
* formation energy (no corrections): -144 kJ per mole of atoms
* ρ: 3.15 g cm⁻³


Below is an optimized crystal structure of SiCN2F, with properties calculated at the PBE-GGA level.

```
SiCN2F
1.0
3.610 0.000 0.000
0.000 3.610 0.000
0.000 0.000 3.476
Si N C F
1 2 1 1
direct
0.000 0.000 0.000 Si
0.000 0.500 0.000 N
0.500 0.000 0.000 N
0.500 0.500 0.500 C
0.000 0.000 0.500 F
```

Computed properties:
* DOS at the Fermi energy: 1.65 states/eV per cell
* polymorph energy (0 for the lowest one): 0 meV/atom
* formation energy (no corrections): 105 kJ per mole of atoms
* ρ: 3.19 g cm⁻³


Below is an optimized crystal structure of SiCN2F, with properties calculated at the PBE-GGA level.

```
SiCN2F
1.0
-3.057 -1.520 0.325
1.554 -2.982 0.673
-0.015 0.742 3.323
Si N C F
1 2 1 1
direct
0.500 0.500 0.500 Si
0.000 0.500 0.000 N
0.500 0.000 0.000 N
0.000 0.000 0.000 C
0.000 0.000 0.500 F
```

Computed properties:
* DOS at the Fermi energy: 1.68 states/eV per cell
* polymorph energy (0 for the lowest one): 479 meV/atom
* formation energy (no corrections): 151 kJ per mole of atoms
* ρ: 3.61 g cm⁻³


Below is an optimized crystal structure of Sm4CN2F, with properties calculated at the PBE-GGA level.

```
Sm4CN2F
1.0
3.619 0.000 0.000
0.000 6.254 0.143
0.000 -2.155 5.893
Sm C N F
4 1 2 1
direct
0.500 0.245 0.256 Sm
0.500 0.755 0.744 Sm
0.000 0.232 0.731 Sm
0.000 0.768 0.269 Sm
0.000 0.000 0.000 C
0.500 0.000 0.500 N
0.000 0.500 0.500 N
0.500 0.500 0.000 F
```

Computed properties:
* DOS at the Fermi energy: 1.54 states/eV per cell
* formation energy (no corrections): -142 kJ per mole of atoms
* ρ: 8.15 g cm⁻³


Below is an optimized crystal structure of Sm6CN3F2, with properties calculated at the PBE-GGA level.

```
Sm6CN3F2
1.0
6.247 -0.008 -0.008
-3.128 5.407 -0.008
-1.048 -1.815 5.970
Sm C N F
6 1 3 2
direct
0.910 0.592 0.728 Sm
0.768 0.768 0.263 Sm
0.090 0.408 0.272 Sm
0.592 0.910 0.728 Sm
0.232 0.232 0.737 Sm
0.408 0.090 0.272 Sm
0.000 0.000 0.000 C
0.162 0.838 0.500 N
0.838 0.162 0.500 N
0.500 0.500 0.500 N
0.332 0.668 0.000 F
0.668 0.332 0.000 F
```

Computed properties:
* DOS at the Fermi energy: 3.40 states/eV per cell
* formation energy (no corrections): -164 kJ per mole of atoms
* ρ: 8.20 g cm⁻³


Below is an optimized crystal structure of Sm4C2NF, with properties calculated at the PBE-GGA level.

```
Sm4C2NF
1.0
-1.921 -4.390 -1.901
4.488 -2.364 0.922
-2.956 2.053 5.238
Sm C N F
4 2 1 1
direct
0.996 0.496 0.992 Sm
0.504 0.004 0.008 Sm
0.762 0.762 0.524 Sm
0.238 0.238 0.476 Sm
0.250 0.750 0.500 C
0.000 0.000 0.000 C
0.750 0.250 0.500 N
0.500 0.500 0.000 F
```

Computed properties:
* DOS at the Fermi energy: 0.43 states/eV per cell
* formation energy (no corrections): -108 kJ per mole of atoms
* ρ: 7.90 g cm⁻³


Below is an optimized crystal structure of SmCN2F, with properties calculated at the PBE-GGA level.

```
SmCN2F
1.0
3.642 0.000 0.000
0.000 5.509 -0.028
0.000 -0.799 6.591
Sm C N F
2 2 4 2
direct
0.750 0.853 0.232 Sm
0.250 0.147 0.768 Sm
0.750 0.649 0.666 C
0.250 0.351 0.334 C
0.250 0.557 0.286 N
0.250 0.139 0.382 N
0.750 0.861 0.618 N
0.750 0.443 0.714 N
0.750 0.167 0.012 F
0.250 0.833 0.988 F
```

Computed properties:
* DOS at the Fermi energy: 0.00 states/eV per cell
* formation energy (no corrections): -159 kJ per mole of atoms
* ρ: 5.26 g cm⁻³


Below is an optimized crystal structure of SnCN2F, with properties calculated at the PBE-GGA level.

```
SnCN2F
1.0
3.312 0.000 0.000
0.000 3.312 0.000
0.000 0.000 5.022
C N Sn F
1 2 1 1
direct
0.000 0.000 0.000 C
0.000 0.500 0.000 N
0.500 0.000 0.000 N
0.500 0.500 0.500 Sn
0.000 0.000 0.500 F
```

Computed properties:
* DOS at the Fermi energy: 1.42 states/eV per cell
* polymorph energy (0 for the lowest one): 0 meV/atom
* formation energy (no corrections): 121 kJ per mole of atoms
* ρ: 5.36 g cm⁻³


Below is an optimized crystal structure of SnCN2F, with properties calculated at the PBE-GGA level.

```
SnCN2F
1.0
-0.412 -1.814 3.763
-2.757 -2.722 -1.614
3.045 -2.552 -0.897
C N Sn F
1 2 1 1
direct
0.500 0.500 0.500 C
0.000 0.500 0.000 N
0.500 0.000 0.000 N
0.000 0.000 0.000 Sn
0.000 0.000 0.500 F
```

Computed properties:
* DOS at the Fermi energy: 0.60 states/eV per cell
* polymorph energy (0 for the lowest one): 570 meV/atom
* formation energy (no corrections): 176 kJ per mole of atoms
* ρ: 4.11 g cm⁻³


Below is an optimized crystal structure of SrCNF2, with properties calculated at the PBE-GGA level.

```
SrCNF2
1.0
4.730 0.000 0.000
0.000 4.730 0.000
0.000 0.000 5.543
Sr C N F
1 1 1 2
direct
0.000 0.000 0.000 Sr
0.500 0.500 0.500 C
0.000 0.000 0.500 N
0.000 0.500 0.000 F
0.500 0.000 0.000 F
```

Computed properties:
* DOS at the Fermi energy: 6.39 states/eV per cell
* polymorph energy (0 for the lowest one): 1504 meV/atom
* formation energy (no corrections): 49 kJ per mole of atoms
* ρ: 2.03 g cm⁻³


Below is an optimized crystal structure of SrCN2F, with properties calculated at the PBE-GGA level.

```
SrCN2F
1.0
3.321 0.000 0.000
0.000 3.321 0.000
0.000 0.000 5.011
Sr C N F
1 1 2 1
direct
0.500 0.500 0.500 Sr
0.000 0.000 0.000 C
0.000 0.500 0.000 N
0.500 0.000 0.000 N
0.000 0.000 0.500 F
```

Computed properties:
* DOS at the Fermi energy: 1.62 states/eV per cell
* formation energy (no corrections): 29 kJ per mole of atoms
* ρ: 4.41 g cm⁻³


Below is an optimized crystal structure of SrCN2F, with properties calculated at the PBE-GGA level.

```
SrCN2F
1.0
-2.578 -3.957 2.290
0.924 -3.026 -4.188
3.954 -1.460 1.927
Sr C N F
1 1 2 1
direct
0.000 0.000 0.000 Sr
0.500 0.500 0.500 C
0.000 0.500 0.000 N
0.500 0.000 0.000 N
0.000 0.000 0.500 F
```

Computed properties:
* DOS at the Fermi energy: 8.61 states/eV per cell
* formation energy (no corrections): 194 kJ per mole of atoms
* ρ: 1.91 g cm⁻³


Below is an optimized crystal structure of SrCNF2, with properties calculated at the PBE-GGA level.

```
SrCNF2
1.0
4.690 0.000 0.000
0.000 4.690 0.000
0.000 0.000 2.602
Sr C N F
1 1 1 2
direct
0.500 0.500 0.500 Sr
0.000 0.000 0.000 C
0.000 0.000 0.500 N
0.000 0.500 0.000 F
0.500 0.000 0.000 F
```

Computed properties:
* DOS at the Fermi energy: 0.90 states/eV per cell
* polymorph energy (0 for the lowest one): 0 meV/atom
* formation energy (no corrections): -96 kJ per mole of atoms
* ρ: 4.40 g cm⁻³


Below is an optimized crystal structure of TaCNF2, with properties calculated at the PBE-GGA level.

```
TaCNF2
1.0
-3.150 1.251 -3.354
-3.299 -2.750 2.073
-0.723 1.920 1.395
N F C Ta
1 2 1 1
direct
0.000 0.000 0.500 N
0.000 0.500 0.000 F
0.500 0.000 0.000 F
0.000 0.000 0.000 C
0.500 0.500 0.500 Ta
```

Computed properties:
* DOS at the Fermi energy: 2.50 states/eV per cell
* polymorph energy (0 for the lowest one): 176 meV/atom
* formation energy (no corrections): 12 kJ per mole of atoms
* ρ: 7.21 g cm⁻³


Below is an optimized crystal structure of TaCNF2, with properties calculated at the PBE-GGA level.

```
TaCNF2
1.0
-3.310 1.572 -1.764
1.417 -1.108 -3.647
-1.860 -3.524 0.348
N F C Ta
1 2 1 1
direct
0.000 0.000 0.500 N
0.000 0.500 0.000 F
0.500 0.000 0.000 F
0.500 0.500 0.500 C
0.000 0.000 0.000 Ta
```

Computed properties:
* DOS at the Fermi energy: 1.75 states/eV per cell
* polymorph energy (0 for the lowest one): 0 meV/atom
* formation energy (no corrections): -5 kJ per mole of atoms
* ρ: 6.15 g cm⁻³


Below is an optimized crystal structure of Tb4C2NF, with properties calculated at the PBE-GGA level.

```
Tb4C2NF
1.0
3.580 0.000 0.000
0.000 6.222 0.140
0.000 -2.152 5.786
Tb C N F
4 2 1 1
direct
0.500 0.242 0.255 Tb
0.500 0.758 0.745 Tb
0.000 0.231 0.731 Tb
0.000 0.769 0.269 Tb
0.500 0.000 0.500 C
0.000 0.500 0.500 C
0.000 0.000 0.000 N
0.500 0.500 0.000 F
```

Computed properties:
* DOS at the Fermi energy: 0.83 states/eV per cell
* formation energy (no corrections): -122 kJ per mole of atoms
* ρ: 8.85 g cm⁻³